This record from Alexandria via LeMat-Bulk describes a geometry-optimized MgFeAg2 structure. The functional is PBE.

The value obtained for the energy of formation is 0.21 eV per atom. The total magnetic moment comes out at 3.006 Bohr magnetons per cell. The calculation puts the final energy at -3.73 eV/atom.

```
4
Lattice="-4.9582 3.1512 -7.3304 -2.7646 1.8991 -8.7749 -5.0424 0.3031 -7.9202" Properties=species:S:1:pos:R:3 pbc="T T T"
Ag -12.7301 5.3388 -23.9595
Ag -6.4176 2.6914 -12.0786
Fe -3.1913 1.3384 -6.0064
Mg -9.5739 4.0151 -18.0191
```